This record from Alexandria describes SrLa2Gd after structural relaxation. The functional is PBE-GGA.

```
SrLa2Gd
1.0
3.789 0.000 0.000
0.000 3.789 0.000
0.000 0.000 10.937
Sr La Gd
1 2 1
direct
0.000 0.000 0.000
0.500 0.500 0.278
0.500 0.500 0.722
0.000 0.000 0.500
```

Values from the calculation:
energy above the most stable polymorph in this dataset: 0.000 eV per atom
crystal system: tetragonal
E_form: 0.3 eV per formula unit


This record from Alexandria describes BaGa2Ge2 after structural relaxation. The functional is PBE-GGA.

```
BaGa2Ge2
1.0
8.247 0.000 0.000
0.000 8.247 0.000
0.000 0.000 3.478
Ba Ga Ge
2 4 4
direct
0.000 0.000 0.000
0.500 0.500 0.000
0.121 0.379 0.000
0.379 0.879 0.000
0.621 0.121 0.000
0.879 0.621 0.000
0.152 0.652 0.500
0.348 0.152 0.500
0.652 0.848 0.500
0.848 0.348 0.500
```

Values from the calculation:
crystal system: tetragonal
E_form: -0.7 eV per formula unit


This record from Alexandria describes HgRu3Cl after structural relaxation. The functional is PBE-GGA.

```
HgRu3Cl
1.0
5.100 0.000 0.000
0.000 5.100 0.000
0.000 0.000 5.100
Hg Ru Cl
1 3 1
direct
0.000 0.000 0.000
0.000 0.000 0.500
0.000 0.500 0.000
0.500 0.000 0.000
0.500 0.500 0.500
```

Values from the calculation:
E_form (uncorrected): 2263 meV/atom
energy above the most stable polymorph in this dataset: 1.186 eV per atom
crystal system: cubic